NaYGaSn: optimized geometry, PBE.

Cell: 7.340 7.340 7.340 Å, 90.00 90.00 90.00°
Space group F-43m (No. 216)
One atom of each set of equivalent atoms:
Na (0.000, 0.000, 0.000)
Y (0.000, 0.000, 0.500)
Ga (0.250, 0.250, 0.750)
Sn (0.250, 0.250, 0.250)

Properties
**Size of the total moment**: 0.000 μB per cell
**Energy of formation**: -0.3149 eV/atom